## LaNd5Y2Th (PBE-GGA)

Data for a relaxed LaNd5Y2Th crystal.

Summary:
energy = -5.3022 eV per atom
SG = Cmc2_1
density = 6.72 g/cm³
size of the total moment = 0.000 μB/f.u.

Cell lengths 5.769, 10.591, 10.678 Å; angles 90.00, 90.00, 105.80 degrees
Fractional positions:
La1 0.586 0.172 0.947
La2 0.414 0.828 0.447
Nd1 0.387 0.774 0.027
Nd2 0.721 0.443 0.814
Nd3 0.478 0.956 0.741
Nd4 0.292 0.583 0.701
Nd5 0.983 0.966 0.526
Nd6 0.613 0.226 0.527
Nd7 0.279 0.557 0.314
Nd8 0.522 0.044 0.241
Nd9 0.708 0.417 0.201
Nd10 0.017 0.034 0.026
Y1 0.884 0.768 0.820
Y2 0.112 0.224 0.735
Y3 0.116 0.232 0.320
Y4 0.888 0.776 0.235
Th1 0.799 0.599 0.512
Th2 0.201 0.401 0.012